[1]
Density functional theory data (PBE) for an optimized crystal structure of CeMnAlGa2.

Lattice parameters (Å, degrees): 4.138 4.138 11.080 90.00 90.00 90.00
Space group I-4m2 (No. 119)
One atom of each set of equivalent atoms:
Ce 0.000 0.000 0.000 (multiplicity 2)
Mn 0.000 0.500 0.750 (multiplicity 2)
Al 0.000 0.500 0.250 (multiplicity 2)
Ga 0.000 0.000 0.387 (multiplicity 4)

* V: 19.0 Å³/atom
* uncorrected energy: -5.36 eV per atom

[2]
Density functional theory data (PBE) for an optimized crystal structure of AgGePb.

Lattice parameters (Å, degrees): 4.6639 4.6639 3.7838 90.00 90.00 120.00
Space group P-6m2 (No. 187)
One atom of each set of equivalent atoms:
Ag 0.0000 0.0000 0.0000 (multiplicity 1)
Ge 0.3333 0.6667 0.0000 (multiplicity 1)
Pb 0.6667 0.3333 0.5000 (multiplicity 1)

* V: 23.8 Å³/atom
* energy relative to the lowest polymorph listed for this composition: 0.00 kJ/mol of atoms
* uncorrected energy: -3.56 eV per atom

[3]
Density functional theory data (PBE) for an optimized crystal structure of Rb2Ba2H.

Lattice parameters (Å, degrees): 8.132 8.132 8.433 90.00 90.00 90.00
Space group P4/mbm (No. 127)
One atom of each set of equivalent atoms:
Rb 0.180 0.320 0.000 (multiplicity 4)
Ba 0.194 0.694 0.500 (multiplicity 4)
H 0.000 0.000 0.500 (multiplicity 2)

* V: 55.8 Å³/atom
* uncorrected energy: -1.74 eV per atom

[4]
Density functional theory data (PBE) for an optimized crystal structure of YIn2N.

Lattice parameters (Å, degrees): 8.726 8.726 4.692 90.00 90.00 90.00
Space group I-42d (No. 122)
One atom of each set of equivalent atoms:
Y 0.000 0.000 0.000 (multiplicity 4)
In 0.148 0.250 0.625 (multiplicity 8)
N 0.000 0.000 0.500 (multiplicity 4)

* V: 22.3 Å³/atom
* raw formation energy: -0.0739 eV per atom
* uncorrected energy: -5.14 eV per atom

[5]
Density functional theory data (PBE) for an optimized crystal structure of Te2PdRu.

Lattice parameters (Å, degrees): 3.3671 3.3671 27.0176 90.00 90.00 120.00
Space group R-3m (No. 166, hexagonal axes)
One atom of each set of equivalent atoms:
Te 0.0000 0.0000 0.0932 (multiplicity 6)
Pd 0.0000 0.0000 0.5000 (multiplicity 3)
Ru 0.0000 0.0000 0.0000 (multiplicity 3)

* V: 22.1 Å³/atom
* raw formation energy: 0.4684 eV per atom
* energy relative to the lowest polymorph listed for this composition: 42.28 kJ/mol of atoms
* uncorrected energy: -4.72 eV per atom

[6]
Density functional theory data (PBE) for an optimized crystal structure of Tb4PrSc3.

Lattice parameters (Å, degrees): 11.024 7.088 6.096 90.00 90.00 90.00
Space group Pmn2_1 (No. 31)
One atom of each set of equivalent atoms:
Tb 0.000 0.131 0.000 (multiplicity 2)
Tb 0.000 0.867 0.493 (multiplicity 2)
Tb 0.245 0.869 0.840 (multiplicity 4)
Pr 0.000 0.383 0.504 (multiplicity 2)
Sc 0.000 0.622 0.005 (multiplicity 2)
Sc 0.249 0.381 0.832 (multiplicity 4)

* V: 29.8 Å³/atom
* energy relative to the lowest polymorph listed for this composition: 0.00 kJ/mol of atoms
* uncorrected energy: -5.25 eV per atom

[7]
Density functional theory data (PBE) for an optimized crystal structure of TbSm6Er6.

Lattice parameters (Å, degrees): 6.6936 6.6936 11.3521 90.00 90.00 120.00
Space group P6/mmm (No. 191)
One atom of each set of equivalent atoms:
Tb 0.0000 0.0000 0.0000 (multiplicity 1)
Sm 0.0000 0.0000 0.3431 (multiplicity 2)
Sm 0.3333 0.6667 0.0000 (multiplicity 2)
Sm 0.3333 0.6667 0.5000 (multiplicity 2)
Er 0.0000 0.5000 0.2448 (multiplicity 6)

* V: 33.9 Å³/atom
* uncorrected energy: -4.37 eV per atom

[8]
Density functional theory data (PBE) for an optimized crystal structure of TlBPb3.

Lattice parameters (Å, degrees): 5.189 5.189 5.189 90.00 90.00 90.00
Space group Pm-3m (No. 221)
One atom of each set of equivalent atoms:
Tl 0.000 0.000 0.000 (multiplicity 1)
B 0.500 0.500 0.500 (multiplicity 1)
Pb 0.000 0.500 0.500 (multiplicity 3)

* V: 27.9 Å³/atom
* energy relative to the lowest polymorph listed for this composition: 0.00 kJ/mol of atoms
* uncorrected energy: -3.44 eV per atom

[9]
Density functional theory data (PBE) for an optimized crystal structure of ZnF.

Lattice parameters (Å, degrees): 2.9540 2.9540 8.4727 90.00 90.00 120.00
Space group P6_3mc (No. 186)
One atom of each set of equivalent atoms:
Zn 0.3333 0.6667 0.0000 (multiplicity 2)
F 0.3333 0.6667 0.6466 (multiplicity 2)

* V: 16.0 Å³/atom
* raw formation energy: -1.2517 eV per atom
* uncorrected energy: -2.82 eV per atom

[10]
Density functional theory data (PBE) for an optimized crystal structure of PmZn2Co2Ge.

Lattice parameters (Å, degrees): 4.354 4.354 5.680 90.00 90.00 90.00
Space group P4/mmm (No. 123)
One atom of each set of equivalent atoms:
Pm 0.000 0.000 0.000 (multiplicity 1)
Zn 0.500 0.500 0.242 (multiplicity 2)
Co 0.000 0.500 0.500 (multiplicity 2)
Ge 0.000 0.000 0.500 (multiplicity 1)

* V: 17.9 Å³/atom
* uncorrected energy: -4.44 eV per atom

[11]
Density functional theory data (PBE) for an optimized crystal structure of Tb2SmMg4.

Lattice parameters (Å, degrees): 6.000 12.976 5.499 90.00 90.00 90.00
Space group Cmmm (No. 65)
One atom of each set of equivalent atoms:
Tb 0.000 0.133 0.000 (multiplicity 4)
Sm 0.000 0.500 0.500 (multiplicity 2)
Mg 0.000 0.254 0.500 (multiplicity 4)
Mg 0.000 0.381 0.000 (multiplicity 4)

* V: 30.6 Å³/atom
* energy relative to the lowest polymorph listed for this composition: 22.26 kJ/mol of atoms
* uncorrected energy: -2.55 eV per atom

[12]
Density functional theory data (PBE) for an optimized crystal structure of Np4AsP.

Lattice parameters (Å, degrees): 5.213 10.979 8.093 90.00 90.00 90.00
Space group Cccm (No. 66)
One atom of each set of equivalent atoms:
Np 0.000 0.111 0.250 (multiplicity 8)
Np 0.226 0.361 0.000 (multiplicity 8)
As 0.250 0.250 0.500 (multiplicity 4)
P 0.000 0.500 0.250 (multiplicity 4)

* V: 19.3 Å³/atom
* uncorrected energy: -10.64 eV per atom

[13]
Density functional theory data (PBE) for an optimized crystal structure of NdGeAsRh3.

Lattice parameters (Å, degrees): 5.686 15.229 5.684 90.00 90.00 90.00
Space group Cmcm (No. 63)
One atom of each set of equivalent atoms:
Nd 0.000 0.200 0.250 (multiplicity 4)
Ge 0.000 0.407 0.750 (multiplicity 4)
As 0.000 0.089 0.750 (multiplicity 4)
Rh 0.000 0.247 0.750 (multiplicity 4)
Rh 0.249 0.000 0.000 (multiplicity 8)

* V: 20.5 Å³/atom
* uncorrected energy: -6.68 eV per atom

[14]
Density functional theory data (PBE) for an optimized crystal structure of AlSnAs2.

Lattice parameters (Å, degrees): 6.123 6.123 11.929 90.00 90.00 90.00
Space group I-42d (No. 122)
One atom of each set of equivalent atoms:
Al 0.000 0.000 0.000 (multiplicity 4)
Sn 0.000 0.000 0.500 (multiplicity 4)
As 0.209 0.250 0.125 (multiplicity 8)

* V: 28.0 Å³/atom
* energy relative to the lowest polymorph listed for this composition: 0.00 kJ/mol of atoms
* uncorrected energy: -4.40 eV per atom

[15]
Density functional theory data (PBE) for an optimized crystal structure of Li2CaTl2Pd2.

Lattice parameters (Å, degrees): 4.6752 4.6752 22.8195 90.00 90.00 120.00
Space group R-3m (No. 166, hexagonal axes)
One atom of each set of equivalent atoms:
Li 0.0000 0.0000 0.1389 (multiplicity 6)
Ca 0.0000 0.0000 0.0000 (multiplicity 3)
Tl 0.0000 0.0000 0.2582 (multiplicity 6)
Pd 0.0000 0.0000 0.4373 (multiplicity 6)

* V: 20.6 Å³/atom
* uncorrected energy: -3.34 eV per atom

[16]
Density functional theory data (PBE) for an optimized crystal structure of SrMg2Sn2Hg2.

Lattice parameters (Å, degrees): 4.9696 4.9696 26.2114 90.00 90.00 120.00
Space group R-3m (No. 166, hexagonal axes)
One atom of each set of equivalent atoms:
Sr 0.0000 0.0000 0.0000 (multiplicity 3)
Mg 0.0000 0.0000 0.1394 (multiplicity 6)
Sn 0.0000 0.0000 0.2566 (multiplicity 6)
Hg 0.0000 0.0000 0.4408 (multiplicity 6)

* V: 26.7 Å³/atom
* uncorrected energy: -2.19 eV per atom

[17]
Density functional theory data (PBE) for an optimized crystal structure of LaPr6Sm2Er.

Lattice parameters (Å, degrees): 9.376 15.478 9.902 90.00 97.77 90.00
Space group C2/c (No. 15)
One atom of each set of equivalent atoms:
La 0.000 0.023 0.250 (multiplicity 4)
Pr 0.066 0.184 0.946 (multiplicity 8)
Pr 0.098 0.395 0.118 (multiplicity 8)
Pr 0.212 0.223 0.313 (multiplicity 8)
Sm 0.248 0.049 0.546 (multiplicity 8)
Er 0.000 0.410 0.750 (multiplicity 4)

* V: 35.6 Å³/atom
* uncorrected energy: -4.65 eV per atom

[18]
Density functional theory data (PBE) for an optimized crystal structure of Li2MgSiS4.

Lattice parameters (Å, degrees): 7.598 6.868 6.299 90.00 90.00 90.00
Space group Pmn2_1 (No. 31)
One atom of each set of equivalent atoms:
Li 0.245 0.170 0.000 (multiplicity 4)
Mg 0.000 0.356 0.496 (multiplicity 2)
Si 0.000 0.673 0.001 (multiplicity 2)
S 0.000 0.378 0.891 (multiplicity 2)
S 0.000 0.682 0.341 (multiplicity 2)
S 0.229 0.826 0.888 (multiplicity 4)

* V: 20.5 Å³/atom
* raw formation energy: -1.1704 eV per atom
* uncorrected energy: -4.59 eV per atom

[19]
Density functional theory data (PBE) for an optimized crystal structure of MgCuGe.

Lattice parameters (Å, degrees): 5.700 5.699 6.885 90.00 114.39 90.00
Space group C2/m (No. 12)
One atom of each set of equivalent atoms:
Mg 0.157 0.000 0.315 (multiplicity 4)
Cu 0.250 0.250 0.000 (multiplicity 4)
Ge 0.122 0.500 0.246 (multiplicity 4)

* V: 17.0 Å³/atom
* uncorrected energy: -3.60 eV per atom

[20]
Density functional theory data (PBE) for an optimized crystal structure of CsLaCu2Br6.

Lattice parameters (Å, degrees): 10.801 14.442 9.602 90.00 107.76 90.00
Space group C2/c (No. 15)
One atom of each set of equivalent atoms:
Cs 0.000 0.139 0.250 (multiplicity 4)
La 0.000 0.440 0.750 (multiplicity 4)
Cu 0.241 0.373 0.254 (multiplicity 8)
Br 0.027 0.384 0.071 (multiplicity 8)
Br 0.179 0.276 0.763 (multiplicity 8)
Br 0.213 0.002 0.586 (multiplicity 8)

* V: 35.7 Å³/atom
* raw formation energy: -1.2355 eV per atom
* uncorrected energy: -3.64 eV per atom

[21]
Density functional theory data (PBE) for an optimized crystal structure of HfAg2GePd.

Lattice parameters (Å, degrees): 4.958 4.958 4.557 90.00 90.00 90.00
Space group P4/mmm (No. 123)
One atom of each set of equivalent atoms:
Hf 0.000 0.000 0.000 (multiplicity 1)
Ag 0.000 0.500 0.500 (multiplicity 2)
Ge 0.500 0.500 0.000 (multiplicity 1)
Pd 0.500 0.500 0.500 (multiplicity 1)

* V: 22.4 Å³/atom
* uncorrected energy: -4.48 eV per atom

[22]
Density functional theory data (PBE) for an optimized crystal structure of K13Rb3.

Lattice parameters (Å, degrees): 10.626 15.035 15.040 90.00 90.00 90.00
Space group Amm2 (No. 38)
One atom of each set of equivalent atoms:
K 0.000 0.000 0.000 (multiplicity 2)
K 0.000 0.000 0.488 (multiplicity 2)
K 0.000 0.244 0.244 (multiplicity 4)
K 0.247 0.000 0.240 (multiplicity 4)
K 0.247 0.247 0.994 (multiplicity 8)
K 0.500 0.000 0.000 (multiplicity 2)
K 0.500 0.244 0.243 (multiplicity 4)
Rb 0.248 0.000 0.747 (multiplicity 4)
Rb 0.500 0.000 0.487 (multiplicity 2)

* V: 75.1 Å³/atom
* uncorrected energy: -1.07 eV per atom

[23]
Density functional theory data (PBE) for an optimized crystal structure of AgP2IrO.

Lattice parameters (Å, degrees): 4.859 4.859 3.686 90.00 90.00 90.00
Space group P4/mmm (No. 123)
One atom of each set of equivalent atoms:
Ag 0.000 0.000 0.000 (multiplicity 1)
P 0.000 0.500 0.500 (multiplicity 2)
Ir 0.500 0.500 0.500 (multiplicity 1)
O 0.500 0.500 0.000 (multiplicity 1)

* V: 17.4 Å³/atom
* raw formation energy: 0.3358 eV per atom
* energy relative to the lowest polymorph listed for this composition: 0.00 kJ/mol of atoms
* uncorrected energy: -5.16 eV per atom

Number 1: D(E_F) 13.6 states/eV per cell. Number 2: D(E_F) 1.2 states/eV per cell. Number 3: D(E_F) 11.2 states/eV per cell. Number 4: D(E_F) 4.2 states/eV per cell. Number 5: D(E_F) 11.9 states/eV per cell. Number 6: D(E_F) 27.1 states/eV per cell. Number 7: D(E_F) 25.8 states/eV per cell. Number 8: D(E_F) 2.8 states/eV per cell. Number 9: D(E_F) 1.1 states/eV per cell. Number 10: D(E_F) 3.1 states/eV per cell. Number 11: D(E_F) 11.5 states/eV per cell. Number 12: D(E_F) 36.6 states/eV per cell. Number 13: D(E_F) 9.6 states/eV per cell. Number 14: D(E_F) 10.4 states/eV per cell. Number 15: D(E_F) 7.3 states/eV per cell. Number 16: D(E_F) 8.1 states/eV per cell. Number 17: D(E_F) 59.3 states/eV per cell. Number 18: D(E_F) 0.0 states/eV per cell. Number 19: D(E_F) 3.1 states/eV per cell. Number 20: D(E_F) 0.0 states/eV per cell. Number 21: D(E_F) 3.1 states/eV per cell. Number 22: D(E_F) 23.9 states/eV per cell. Number 23: D(E_F) 5.2 states/eV per cell.